1) {"formula": "Pr5NdTm4", "functional": "GGA-PBE", "state": "optimized geometry", "space_group": "No. 12", "volume_a3_per_atom": 34.70, "n_ef_per_ev_atom": 1.56, "lattice_angstrom": [[3.5956, 0.0000, 0.0000], [0.0000, 10.5085, 1.4694], [-1.7978, -0.2221, 9.1524]], "species": ["Nd", "Tm", "Tm", "Tm", "Tm", "Pr", "Pr", "Pr", "Pr", "Pr"], "frac_coords": [[0.5000, 0.0000, 0.0000], [0.9536, 0.7628, 0.9072], [0.0464, 0.2372, 0.0928], [0.6826, 0.0864, 0.3652], [0.3174, 0.9136, 0.6348], [0.1901, 0.3990, 0.3802], [0.8583, 0.2279, 0.7166], [0.8099, 0.6010, 0.6198], [0.5000, 0.5000, 0.0000], [0.1417, 0.7721, 0.2834]]}

=====

2) {"formula": "Pr5NdTm4", "functional": "GGA-PBE", "state": "optimized geometry", "space_group": "No. 2", "volume_a3_per_atom": 33.77, "n_ef_per_ev_atom": 1.37, "lattice_angstrom": [[-2.2664, -1.8835, 2.0826], [-3.5319, -7.1201, -7.8304], [7.3983, -3.1832, 4.1087]], "species": ["Pr", "Pr", "Pr", "Pr", "Pr", "Tm", "Tm", "Tm", "Tm", "Nd"], "frac_coords": [[0.0015, 0.8226, 0.2142], [0.9985, 0.1774, 0.7858], [0.5000, 0.5000, 0.0000], [0.8193, 0.4234, 0.6164], [0.1807, 0.5766, 0.3836], [0.8466, 0.2810, 0.2046], [0.4283, 0.1227, 0.4171], [0.1534, 0.7190, 0.7954], [0.5717, 0.8773, 0.5829], [0.5000, 0.0000, 0.0000]]}

=====

Ranking the structures above by energy, 2) is first and the second is 84 meV per atom behind.